Compound: Tm
Source: OQMD
Functional: PBE-GGA
Structure: optimized geometry

a = 3.466 Å, b = 3.466 Å, c = 8.468 Å
α = 90.00°, β = 90.00°, γ = 120.00°
Sites, in units of the cell vectors:
Tm: 0.332 0.000 0.333
Tm: 0.668 0.668 0.000
Tm: 0.000 0.332 0.667

Output
formation energy: 0.03 eV/f.u.
volume: 29.37 A^3/atom
relative energy among the computed polymorphs: 0.0326 eV/atom